1.
# GGA-PBE Ac3AlGe2Pd6, optimized geometry
# Calculated formation energy = -70.8 kJ/mol of atoms
# Raw total energy = -65.26 eV per formula unit
# Theoretical density = 9.09 g/cm³
data_Ac3AlGe2Pd6
_chemical_formula_sum 'Ac3 Al1 Ge2 Pd6'
_space_group_name_H-M_alt 'P -3 m 1'
_space_group_IT_number 164
_space_group_name_Hall '-P 3 2"'
_cell_length_a 5.9795
_cell_length_b 5.9795
_cell_length_c 8.8023
_cell_angle_alpha 90.00
_cell_angle_beta 90.00
_cell_angle_gamma 120.00
loop_
_atom_site_label
_atom_site_fract_x
_atom_site_fract_y
_atom_site_fract_z
Ac1 0.0000 0.0000 0.0000
Ac2 0.3333 0.6667 0.6604
Al1 0.0000 0.0000 0.5000
Ge1 0.3333 0.6667 0.0583
Pd1 0.1739 0.3477 0.2970



2.
# GGA-PBE Ac2Al4GePd3, optimized geometry
# Calculated formation energy = -73.1 kJ/mol of atoms
# Raw total energy = -50.96 eV per formula unit
# Theoretical density = 7.53 g/cm³
data_Ac2Al4GePd3
_chemical_formula_sum 'Ac2 Al4 Ge1 Pd3'
_space_group_name_H-M_alt 'P -4 m 2'
_space_group_IT_number 115
_cell_length_a 4.501
_cell_length_b 4.501
_cell_length_c 10.386
_cell_angle_alpha 90.00
_cell_angle_beta 90.00
_cell_angle_gamma 90.00
loop_
_space_group_symop_operation_xyz
'x,y,z'
'y,-x,-z'
'-x,-y,z'
'-y,x,-z'
'-x,y,z'
'-y,-x,-z'
'x,-y,z'
'y,x,-z'
loop_
_atom_site_label
_atom_site_fract_x
_atom_site_fract_y
_atom_site_fract_z
Ac1 0.000 0.500 0.248
Al1 0.000 0.000 0.500
Al2 0.000 0.500 0.868
Al3 0.500 0.500 0.500
Ge1 0.500 0.500 0.000
Pd1 0.000 0.000 0.000
Pd2 0.000 0.500 0.625



3.
# GGA-PBE Ac3Al2GePd9, optimized geometry
# Calculated formation energy = -65.6 kJ/mol of atoms
# Raw total energy = -81.36 eV per formula unit
# Theoretical density = 8.86 g/cm³
data_Ac3Al2GePd9
_chemical_formula_sum 'Ac3 Al2 Ge1 Pd9'
_space_group_name_H-M_alt 'P -3 m 1'
_space_group_IT_number 164
_space_group_name_Hall '-P 3 2"'
_cell_length_a 6.0331
_cell_length_b 6.0331
_cell_length_c 10.4941
_cell_angle_alpha 90.00
_cell_angle_beta 90.00
_cell_angle_gamma 120.00
loop_
_atom_site_label
_atom_site_fract_x
_atom_site_fract_y
_atom_site_fract_z
Ac1 0.0000 0.0000 0.0000
Ac2 0.3333 0.6667 0.6863
Al1 0.3333 0.6667 0.1687
Ge1 0.0000 0.0000 0.5000
Pd1 0.0000 0.5000 0.0000
Pd2 0.1723 0.3446 0.3419



4.
# GGA-PBE Ac3AlGe6Pd2, optimized geometry
# Calculated formation energy = -37.9 kJ/mol of atoms
# Raw total energy = -58.87 eV per formula unit
# Theoretical density = 7.72 g/cm³
data_Ac3AlGe6Pd2
_chemical_formula_sum 'Ac3 Al1 Ge6 Pd2'
_space_group_name_H-M_alt 'P -3 m 1'
_space_group_IT_number 164
_space_group_name_Hall '-P 3 2"'
_cell_length_a 6.2584
_cell_length_b 6.2584
_cell_length_c 8.5984
_cell_angle_alpha 90.00
_cell_angle_beta 90.00
_cell_angle_gamma 120.00
loop_
_atom_site_label
_atom_site_fract_x
_atom_site_fract_y
_atom_site_fract_z
Ac1 0.0000 0.0000 0.0000
Ac2 0.3333 0.6667 0.6381
Al1 0.0000 0.0000 0.5000
Ge1 0.1934 0.3868 0.2864
Pd1 0.3333 0.6667 0.0369



5.
# GGA-PBE AcPmAl2Ge, optimized geometry
# Calculated formation energy = -45.6 kJ/mol of atoms
# Raw total energy = -23.32 eV per formula unit
# Theoretical density = 6.23 g/cm³
data_AcPmAl2Ge
_chemical_formula_sum 'Ac2 Pm2 Al4 Ge2'
_space_group_name_H-M_alt 'I m m 2'
_space_group_IT_number 44
_cell_length_a 4.480
_cell_length_b 4.684
_cell_length_c 12.665
_cell_angle_alpha 90.00
_cell_angle_beta 90.00
_cell_angle_gamma 90.00
loop_
_space_group_symop_operation_xyz
'x,y,z'
'-x,-y,z'
'-x,y,z'
'x,-y,z'
'x+1/2,y+1/2,z+1/2'
'-x+1/2,-y+1/2,z+1/2'
'-x+1/2,y+1/2,z+1/2'
'x+1/2,-y+1/2,z+1/2'
loop_
_atom_site_label
_atom_site_fract_x
_atom_site_fract_y
_atom_site_fract_z
Ac1 0.000 0.000 0.000
Pm1 0.000 0.500 0.758
Al1 0.000 0.000 0.608
Al2 0.000 0.500 0.235
Ge1 0.000 0.000 0.407



6.
# GGA-PBE AcPmAlGe, optimized geometry
# Calculated formation energy = -36.3 kJ/mol of atoms
# Raw total energy = -18.72 eV per formula unit
# Theoretical density = 7.05 g/cm³
# Offset from the most stable computed form = 215 meV per atom
data_AcPmAlGe
_chemical_formula_sum 'Ac4 Pm4 Al4 Ge4'
_space_group_name_H-M_alt 'F -4 3 m'
_space_group_IT_number 216
_space_group_name_Hall 'F -4 2 3'
_cell_length_a 7.632
_cell_length_b 7.632
_cell_length_c 7.632
_cell_angle_alpha 90.00
_cell_angle_beta 90.00
_cell_angle_gamma 90.00
loop_
_atom_site_label
_atom_site_fract_x
_atom_site_fract_y
_atom_site_fract_z
Ac1 0.000 0.000 0.000
Pm1 0.000 0.000 0.500
Al1 0.250 0.250 0.250
Ge1 0.250 0.250 0.750



7.
# GGA-PBE AcPmAlGe, optimized geometry
# Calculated formation energy = -57.1 kJ/mol of atoms
# Raw total energy = -19.58 eV per formula unit
# Theoretical density = 6.85 g/cm³
# Offset from the most stable computed form = 0 meV per atom
data_AcPmAlGe
_chemical_formula_sum 'Ac2 Pm2 Al2 Ge2'
_space_group_name_H-M_alt 'A m m 2'
_space_group_IT_number 38
_cell_length_a 4.206
_cell_length_b 4.619
_cell_length_c 11.773
_cell_angle_alpha 90.00
_cell_angle_beta 90.00
_cell_angle_gamma 90.00
loop_
_space_group_symop_operation_xyz
'x,y,z'
'-x,-y,z'
'-x,y,z'
'x,-y,z'
'x,y+1/2,z+1/2'
'-x,-y+1/2,z+1/2'
'-x,y+1/2,z+1/2'
'x,-y+1/2,z+1/2'
loop_
_atom_site_label
_atom_site_fract_x
_atom_site_fract_y
_atom_site_fract_z
Ac1 0.000 0.000 0.000
Pm1 0.500 0.000 0.719
Al1 0.000 0.000 0.283
Ge1 0.500 0.000 0.420



8.
# GGA-PBE AcPrAl2Ge, optimized geometry
# Calculated formation energy = -43.3 kJ/mol of atoms
# Raw total energy = -23.24 eV per formula unit
# Theoretical density = 6.03 g/cm³
data_AcPrAl2Ge
_chemical_formula_sum 'Ac2 Pr2 Al4 Ge2'
_space_group_name_H-M_alt 'I m m 2'
_space_group_IT_number 44
_cell_length_a 4.490
_cell_length_b 4.730
_cell_length_c 12.825
_cell_angle_alpha 90.00
_cell_angle_beta 90.00
_cell_angle_gamma 90.00
loop_
_space_group_symop_operation_xyz
'x,y,z'
'-x,-y,z'
'-x,y,z'
'x,-y,z'
'x+1/2,y+1/2,z+1/2'
'-x+1/2,-y+1/2,z+1/2'
'-x+1/2,y+1/2,z+1/2'
'x+1/2,-y+1/2,z+1/2'
loop_
_atom_site_label
_atom_site_fract_x
_atom_site_fract_y
_atom_site_fract_z
Ac1 0.000 0.000 0.000
Pr1 0.000 0.500 0.759
Al1 0.000 0.000 0.608
Al2 0.000 0.500 0.230
Ge1 0.000 0.000 0.411



9.
# GGA-PBE AcPr2Al2Ge2, optimized geometry
# Calculated formation energy = -46.0 kJ/mol of atoms
# Raw total energy = -33.73 eV per formula unit
# Theoretical density = 6.01 g/cm³
data_AcPr2Al2Ge2
_chemical_formula_sum 'Ac3 Pr6 Al6 Ge6'
_space_group_name_H-M_alt 'R -3 m'
_space_group_IT_number 166
_space_group_name_Hall '-R 3 2"'
_cell_length_a 4.2560
_cell_length_b 4.2560
_cell_length_c 37.4105
_cell_angle_alpha 90.00
_cell_angle_beta 90.00
_cell_angle_gamma 120.00
loop_
_atom_site_label
_atom_site_fract_x
_atom_site_fract_y
_atom_site_fract_z
Ac1 0.0000 0.0000 0.0000
Pr1 0.0000 0.0000 0.1221
Al1 0.0000 0.0000 0.4020
Ge1 0.0000 0.0000 0.2730



10.
# GGA-PBE AcPrAlGe, optimized geometry
# Calculated formation energy = -36.0 kJ/mol of atoms
# Raw total energy = -18.74 eV per formula unit
# Theoretical density = 6.84 g/cm³
# Offset from the most stable computed form = 220 meV per atom
data_AcPrAlGe
_chemical_formula_sum 'Ac4 Pr4 Al4 Ge4'
_space_group_name_H-M_alt 'F -4 3 m'
_space_group_IT_number 216
_space_group_name_Hall 'F -4 2 3'
_cell_length_a 7.685
_cell_length_b 7.685
_cell_length_c 7.685
_cell_angle_alpha 90.00
_cell_angle_beta 90.00
_cell_angle_gamma 90.00
loop_
_atom_site_label
_atom_site_fract_x
_atom_site_fract_y
_atom_site_fract_z
Ac1 0.000 0.000 0.000
Pr1 0.000 0.000 0.500
Al1 0.250 0.250 0.750
Ge1 0.250 0.250 0.250



11.
# GGA-PBE AcPrAlGe, optimized geometry
# Calculated formation energy = -57.2 kJ/mol of atoms
# Raw total energy = -19.62 eV per formula unit
# Theoretical density = 6.67 g/cm³
# Offset from the most stable computed form = 0 meV per atom
data_AcPrAlGe
_chemical_formula_sum 'Ac2 Pr2 Al2 Ge2'
_space_group_name_H-M_alt 'A m m 2'
_space_group_IT_number 38
_cell_length_a 4.220
_cell_length_b 4.650
_cell_length_c 11.855
_cell_angle_alpha 90.00
_cell_angle_beta 90.00
_cell_angle_gamma 90.00
loop_
_space_group_symop_operation_xyz
'x,y,z'
'-x,-y,z'
'-x,y,z'
'x,-y,z'
'x,y+1/2,z+1/2'
'-x,-y+1/2,z+1/2'
'-x,y+1/2,z+1/2'
'x,-y+1/2,z+1/2'
loop_
_atom_site_label
_atom_site_fract_x
_atom_site_fract_y
_atom_site_fract_z
Ac1 0.000 0.000 0.000
Pr1 0.500 0.000 0.717
Al1 0.000 0.000 0.285
Ge1 0.500 0.000 0.421



12.
# GGA-PBE Ac2AlGePt6, optimized geometry
# Calculated formation energy = -91.6 kJ/mol of atoms
# Raw total energy = -62.32 eV per formula unit
# Theoretical density = 13.27 g/cm³
data_Ac2AlGePt6
_chemical_formula_sum 'Ac4 Al2 Ge2 Pt12'
_space_group_name_H-M_alt 'C 1 2/m 1'
_space_group_IT_number 12
_cell_length_a 12.212
_cell_length_b 5.618
_cell_length_c 8.468
_cell_angle_alpha 90.00
_cell_angle_beta 132.06
_cell_angle_gamma 90.00
loop_
_space_group_symop_operation_xyz
'x,y,z'
'-x,-y,-z'
'-x,y,-z'
'x,-y,z'
'x+1/2,y+1/2,z'
'-x+1/2,-y+1/2,-z'
'-x+1/2,y+1/2,-z'
'x+1/2,-y+1/2,z'
loop_
_atom_site_label
_atom_site_fract_x
_atom_site_fract_y
_atom_site_fract_z
Ac1 0.248 0.000 0.205
Al1 0.000 0.500 0.000
Ge1 0.000 0.000 0.500
Pt1 0.010 0.249 0.258
Pt2 0.248 0.500 0.381